Density functional theory data (GGA-PBE) for HoPaCo2 after structural relaxation.

Calculated values
* raw total energy: -7.255 eV/atom
* energy of formation from the pure elements: -0.74 eV per formula unit
* distance to the lowest polymorph of the same formula: 0.81 eV/f.u.

a b c (Å): 3.6451 3.6451 7.1426
angles (deg): 75.22 75.22 60.00
Positions (direct):
Co (0.2585, 0.2585, 0.2245)
Co (0.0755, 0.0755, 0.7736)
Pa (0.6688, 0.6688, 0.9936)
Ho (0.4972, 0.4972, 0.5084)